# Zr2CrFeH | Alexandria via LeMat-Bulk | PBE-GGA | optimized geometry
data_Zr2CrFeH
_cell_length_a 4.5642
_cell_length_b 4.5642
_cell_length_c 3.3111
_cell_angle_alpha 90.00
_cell_angle_beta 90.00
_cell_angle_gamma 90.00
_symmetry_space_group_name_H-M 'P 4/m m m'
_symmetry_Int_Tables_number 123
_symmetry_space_group_name_Hall '-P 4 2'
loop_
_atom_site_label
_atom_site_type_symbol
_atom_site_fract_x
_atom_site_fract_y
_atom_site_fract_z
Zr1 Zr 0.0000 0.5000 0.0000
Cr1 Cr 0.0000 0.0000 0.5000
Fe1 Fe 0.5000 0.5000 0.5000
H1 H 0.5000 0.5000 0.0000
# Total magnetization in μB/cell: 1.4
# DFT total energy in eV/atom: -7.772
# DOS(E_F) in states/eV per atom: 0.901

# Hf2CrFe3 | Alexandria via LeMat-Bulk | PBE-GGA | optimized geometry
data_Hf2CrFe3
_cell_length_a 5.0021
_cell_length_b 5.0021
_cell_length_c 11.6351
_cell_angle_alpha 90.00
_cell_angle_beta 90.00
_cell_angle_gamma 120.00
_symmetry_space_group_name_H-M 'R -3 m'
_symmetry_Int_Tables_number 166
_symmetry_space_group_name_Hall '-R 3 2"'
loop_
_atom_site_label
_atom_site_type_symbol
_atom_site_fract_x
_atom_site_fract_y
_atom_site_fract_z
Hf1 Hf 0.0000 0.0000 0.1267
Cr1 Cr 0.0000 0.0000 0.5000
Fe1 Fe 0.0000 0.5000 0.0000
# Total magnetization in μB/cell: 7.0
# DFT total energy in eV/atom: -9.403
# Formation energy in eV/f.u.: -1.502
# DOS(E_F) in states/eV per atom: 1.250

# HfCrFe | Alexandria via LeMat-Bulk | PBE-GGA | optimized geometry
data_HfCrFe
_cell_length_a 3.7959
_cell_length_b 10.3816
_cell_length_c 4.4653
_cell_angle_alpha 90.00
_cell_angle_beta 90.00
_cell_angle_gamma 90.00
_symmetry_space_group_name_H-M 'C m c m'
_symmetry_Int_Tables_number 63
_symmetry_space_group_name_Hall '-C 2c 2'
loop_
_atom_site_label
_atom_site_type_symbol
_atom_site_fract_x
_atom_site_fract_y
_atom_site_fract_z
Hf1 Hf 0.0000 0.0938 0.2500
Cr1 Cr 0.0000 0.3953 0.2500
Fe1 Fe 0.0000 0.2248 0.7500
# Total magnetization in μB/cell: 2.4
# DFT total energy in eV/atom: -9.206
# Formation energy in eV/f.u.: 0.421
# DOS(E_F) in states/eV per atom: 1.094

Question: Which of these has the highest DOS(E_F)?
Answer: Hf2CrFe3

Question: Which value of DFT total energy does entry 1 give?
Answer: -7.772 eV/atom

Question: Which of these has the highest DOS(E_F)?
Answer: Hf2CrFe3

Question: What is the total magnetization in the second record?
Answer: 7.0 μB/cell